An optimized crystal structure of Hf8Ga2Ge, computed with PBE.

Lattice parameters (Å, degrees): 7.649 12.581 5.185 90.00 111.56 90.00
Space group C2/m (No. 12)
One atom of each set of equivalent atoms:
Hf 0.000 0.226 0.000
Hf 0.096 0.500 0.800
Hf 0.204 0.117 0.632
Ga 0.000 0.306 0.500
Ge 0.000 0.000 0.000

N(E_F) = 20.9 states/eV/cell
M_tot = 0.0 μB/f.u.
E = -8.330 eV per atom